{
  "formula": "CeY5Zn4",
  "functional": "PBE",
  "state": "optimized geometry",
  "lattice": [[-2.441, 1.100, 2.358], [-1.833, -3.022, -0.487], [9.996, -8.359, 14.246]],
  "species": ["Ce", "Y", "Y", "Y", "Y", "Y", "Zn", "Zn", "Zn", "Zn"],
  "frac_coords": [[0.000, 0.000, 0.000], [0.500, 0.500, 0.129], [0.500, 0.500, 0.315], [0.500, 0.500, 0.500], [0.500, 0.500, 0.685], [0.500, 0.500, 0.871], [0.000, 0.000, 0.221], [0.000, 0.000, 0.406], [0.000, 0.000, 0.594], [0.000, 0.000, 0.779]],
  "dos_at_fermi_per_ev_cell": 14.27,
  "delta_e_f_ev_per_atom": -0.2646
}

***

{
  "formula": "NaSn",
  "functional": "PBE",
  "state": "optimized geometry",
  "lattice": [[-1.233, -11.485, 4.253], [3.698, 1.003, 3.782], [-4.377, 1.871, 3.784]],
  "species": ["Na", "Na", "Na", "Na", "Na", "Na", "Sn", "Sn", "Sn", "Sn", "Sn", "Sn"],
  "frac_coords": [[0.849, 0.500, 0.618], [0.651, 0.500, 0.118], [0.151, 0.500, 0.618], [0.349, 0.500, 0.118], [0.000, 0.974, 0.227], [0.500, 0.026, 0.727], [0.721, 0.998, 0.409], [0.779, 0.002, 0.909], [0.279, 0.998, 0.409], [0.221, 0.002, 0.909], [0.000, 0.001, 0.721], [0.500, 0.999, 0.221]],
  "dos_at_fermi_per_ev_cell": 4.86,
  "delta_e_f_ev_per_atom": -0.0805
}

***

{
  "formula": "Nd2MgGe3",
  "functional": "PBE",
  "state": "optimized geometry",
  "lattice": [[4.424, 0.000, 0.000], [0.000, 6.958, 0.000], [0.000, 0.000, 18.705]],
  "species": ["Nd", "Nd", "Nd", "Nd", "Nd", "Nd", "Nd", "Nd", "Mg", "Mg", "Mg", "Mg", "Ge", "Ge", "Ge", "Ge", "Ge", "Ge", "Ge", "Ge", "Ge", "Ge", "Ge", "Ge"],
  "frac_coords": [[0.250, 0.666, 0.584], [0.750, 0.834, 0.084], [0.250, 0.166, 0.916], [0.750, 0.334, 0.416], [0.250, 0.685, 0.799], [0.750, 0.815, 0.299], [0.250, 0.185, 0.701], [0.750, 0.315, 0.201], [0.250, 0.945, 0.440], [0.750, 0.555, 0.940], [0.250, 0.445, 0.060], [0.750, 0.055, 0.560], [0.250, 0.756, 0.968], [0.750, 0.744, 0.468], [0.250, 0.256, 0.532], [0.750, 0.244, 0.032], [0.250, 0.006, 0.183], [0.750, 0.494, 0.683], [0.250, 0.506, 0.317], [0.750, 0.994, 0.817], [0.250, 0.636, 0.189], [0.750, 0.864, 0.689], [0.250, 0.136, 0.311], [0.750, 0.364, 0.811]],
  "dos_at_fermi_per_ev_cell": 4.31,
  "delta_e_f_ev_per_atom": -0.6803
}